(1)
Below is AcLaGe after structural relaxation, with properties calculated at the PBE-GGA level.

Cell lengths 6.5667, 6.5667, 8.9739 Å; angles 123.01, 123.01, 39.56 degrees
Last column: nearest neighbours and their distance in Å.
Element x y z (fractional)
Ac (0.1758, 0.1758, 0.0790)  3 Ge 3.19-3.48
Ac (0.8242, 0.8242, 0.9210)  3 Ge 3.19-3.48
La (0.4184, 0.4184, 0.6331)  4 Ge 3.21-3.26
La (0.5816, 0.5816, 0.3669)  4 Ge 3.21-3.26
Ge (0.1183, 0.1183, 0.6502)  1 Ge 2.59
Ge (0.8817, 0.8817, 0.3498)  1 Ge 2.59

Calculated values
* N(E_F): 8.369 states/eV per cell
* size of the total moment: 0.2 Bohr magnetons per cell
* calculated formation energy: -491 meV per atom
* uncorrected energy: -30.251 eV per cell

***

(2)
Below is GaTc3Sn after structural relaxation, with properties calculated at the PBE-GGA level.

Cell lengths 4.8743, 4.8743, 4.8743 Å; angles 90.00, 90.00, 90.00 degrees
Last column: nearest neighbours and their distance in Å.
Element x y z (fractional)
Ga (0.0000, 0.0000, 0.0000)  12 Tc 3.45
Tc (0.0000, 0.5000, 0.5000)  2 Sn 2.44
Tc (0.5000, 0.0000, 0.5000)  2 Sn 2.44
Tc (0.5000, 0.5000, 0.0000)  2 Sn 2.44
Sn (0.5000, 0.5000, 0.5000)  6 Tc 2.44

Calculated values
* N(E_F): 5.274 states/eV per cell
* size of the total moment: 4.1 Bohr magnetons per cell
* calculated formation energy: 1998 meV per atom
* uncorrected energy: -28.136 eV per cell

***

(3)
Below is MnCdTc after structural relaxation, with properties calculated at the PBE-GGA level.

Cell lengths 5.8746, 5.8746, 5.8746 Å; angles 151.48, 151.48, 40.77 degrees
Last column: nearest neighbours and their distance in Å.
Element x y z (fractional)
Mn (0.0000, 0.0000, 0.0000)  4 Tc 2.42
Cd (0.6839, 0.6839, 0.0000)  4 Mn 2.88, 4 Cd 2.89, 4 Tc 3.00
Tc (0.3834, 0.3834, 0.0000)  4 Mn 2.42

Calculated values
* N(E_F): 1.875 states/eV per cell
* size of the total moment: 0.0 Bohr magnetons per cell
* calculated formation energy: 239 meV per atom
* uncorrected energy: -19.733 eV per cell

***

(4)
Below is OsAuCl2 after structural relaxation, with properties calculated at the PBE-GGA level.

Cell lengths 4.7754, 4.7754, 3.0205 Å; angles 90.00, 90.00, 90.00 degrees
Last column: nearest neighbours and their distance in Å.
Element x y z (fractional)
Os (0.0000, 0.0000, 0.0000)  8 Cl 2.83, 2 Os 3.02
Au (0.5000, 0.5000, 0.0000)  8 Cl 2.83, 2 Au 3.02
Cl (0.0000, 0.5000, 0.5000)  4 Os 2.83, 4 Au 2.83, 2 Cl 3.02
Cl (0.5000, 0.0000, 0.5000)  4 Os 2.83, 4 Au 2.83, 2 Cl 3.02

Calculated values
* N(E_F): 2.941 states/eV per cell
* size of the total moment: 0.0 Bohr magnetons per cell
* uncorrected energy: -13.204 eV per cell